(1)
Ba2BeSe | Alexandria via LeMat-Bulk | PBE | relaxed; SG = R-3m (166); crystal system = trigonal; calculated density = 3.9 g/cm³; spin magnetization = 1.1 μB/f.u.
1.0
2.3116 1.3346 8.3331
-2.3116 1.3346 8.3331
0.0000 -2.6692 8.3331
Ba Be Se
2 1 1
Direct
0.2447 0.2447 0.2447
0.7553 0.7553 0.7553
0.0000 0.0000 0.0000
0.5000 0.5000 0.5000

---

(2)
Ba2BeSe | Alexandria via LeMat-Bulk | PBE | relaxed; SG = F-43m (216); crystal system = cubic; calculated density = 4.9 g/cm³; spin magnetization = 0.7 μB/f.u.
1.0
0.0000 3.9512 3.9512
3.9512 0.0000 3.9512
3.9512 3.9512 0.0000
Ba Be Se
2 1 1
Direct
0.0000 0.0000 0.0000
0.2500 0.2500 0.2500
0.5000 0.5000 0.5000
0.7500 0.7500 0.7500

---

Most stable of them? (1).

---

(1)
Ba2BeSe | Alexandria via LeMat-Bulk | PBE | relaxed; SG = P4/mmm (123); crystal system = tetragonal; calculated density = 4.6 g/cm³; spin magnetization = 0.0 μB/f.u.
1.0
4.0670 0.0000 0.0000
0.0000 4.0670 0.0000
0.0000 0.0000 7.8627
Ba Be Se
2 1 1
Direct
0.0000 0.0000 0.2448
0.0000 0.0000 0.7552
0.5000 0.5000 0.5000
0.5000 0.5000 0.0000

---

(2)
Ba2BeSe | Alexandria via LeMat-Bulk | PBE | relaxed; SG = Cm (8); crystal system = monoclinic; calculated density = 4.6 g/cm³; spin magnetization = 0.0 μB/f.u.
1.0
5.9721 -2.1320 0.0000
5.9721 2.1320 0.0000
-0.9426 0.0000 5.1478
Ba Be Se
2 1 1
Direct
0.0000 0.0000 0.0000
0.7302 0.7302 0.5754
0.4441 0.4441 0.4552
0.2904 0.2904 0.1263

---

Most stable of them? (2).

---

(1)
Ba2BeSe | Alexandria via LeMat-Bulk | PBE | relaxed; SG = Fm-3m (225); crystal system = cubic; calculated density = 4.7 g/cm³; spin magnetization = 0.0 μB/f.u.
1.0
0.0000 4.0002 4.0002
4.0002 0.0000 4.0002
4.0002 4.0002 0.0000
Ba Be Se
2 1 1
Direct
0.2500 0.2500 0.2500
0.7500 0.7500 0.7500
0.0000 0.0000 0.0000
0.5000 0.5000 0.5000

---

(2)
Ba2BeSe | Alexandria via LeMat-Bulk | PBE | relaxed; SG = I-42d (122); crystal system = tetragonal; calculated density = 3.7 g/cm³; spin magnetization = 0.0 μB/f.u.
1.0
-4.2530 4.2530 4.4869
4.2530 -4.2530 4.4869
4.2530 4.2530 -4.4869
Ba Be Se
4 2 2
Direct
0.1162 0.1250 0.4912
0.3750 0.8838 0.0088
0.6338 0.6250 0.5088
0.8750 0.3662 0.9912
0.2500 0.7500 0.5000
0.5000 0.5000 0.0000
0.0000 0.0000 0.0000
0.7500 0.2500 0.5000

---

(3)
Ba2BeSe | Alexandria via LeMat-Bulk | PBE | relaxed; SG = I-4m2 (119); crystal system = tetragonal; calculated density = 4.4 g/cm³; spin magnetization = 0.0 μB/f.u.
1.0
-2.3257 2.3257 6.3098
2.3257 -2.3257 6.3098
2.3257 2.3257 -6.3098
Ba Be Se
2 1 1
Direct
0.0000 0.0000 0.0000
0.7500 0.2500 0.5000
0.2500 0.7500 0.5000
0.5000 0.5000 0.0000

---

Most stable of them? (1).

---

(1)
BaBeSe3 | Alexandria via LeMat-Bulk | PBE | relaxed; SG = Pm-3m (221); crystal system = cubic; calculated density = 5.4 g/cm³; spin magnetization = 0.0 μB/f.u.
1.0
4.8949 0.0000 0.0000
0.0000 4.8949 0.0000
0.0000 0.0000 4.8949
Ba Be Se
1 1 3
Direct
0.0000 0.0000 0.0000
0.5000 0.5000 0.5000
0.0000 0.5000 0.5000
0.5000 0.0000 0.5000
0.5000 0.5000 0.0000

---

(2)
BaBeSe3 | Alexandria via LeMat-Bulk | PBE | relaxed; SG = Pm-3m (221); crystal system = cubic; calculated density = 2.5 g/cm³; spin magnetization = 4.0 μB/f.u.
1.0
6.3246 0.0000 0.0000
0.0000 6.3246 0.0000
0.0000 0.0000 6.3246
Ba Be Se
1 1 3
Direct
0.0000 0.0000 0.0000
0.5000 0.5000 0.5000
0.0000 0.0000 0.5000
0.0000 0.5000 0.0000
0.5000 0.0000 0.0000

---

Most stable of them? (1).

---

(1)
Ba2Be2Sn | Alexandria via LeMat-Bulk | PBE | relaxed; SG = I4/mmm (139); crystal system = tetragonal; calculated density = 4.6 g/cm³; spin magnetization = 0.0 μB/f.u.
1.0
-3.2587 3.2587 3.4754
3.2587 -3.2587 3.4754
3.2587 3.2587 -3.4754
Ba Be Sn
2 2 1
Direct
0.2500 0.7500 0.5000
0.7500 0.2500 0.5000
0.1459 0.1459 0.0000
0.8541 0.8541 0.0000
0.5000 0.5000 0.0000

---

(2)
Ba2Be2Sn | Alexandria via LeMat-Bulk | PBE | relaxed; SG = P4/mbm (127); crystal system = tetragonal; calculated density = 5.0 g/cm³; spin magnetization = 0.0 μB/f.u.
1.0
7.3001 0.0000 0.0000
0.0000 7.3001 0.0000
0.0000 0.0000 5.1722
Ba Be Sn
4 4 2
Direct
0.1951 0.3049 0.0000
0.3049 0.8049 0.0000
0.6951 0.1951 0.0000
0.8049 0.6951 0.0000
0.1032 0.6032 0.5000
0.3968 0.1032 0.5000
0.6032 0.8968 0.5000
0.8968 0.3968 0.5000
0.0000 0.0000 0.5000
0.5000 0.5000 0.5000

---

Most stable of them? (2).

---

(1)
BaBeSn3 | Alexandria via LeMat-Bulk | PBE | relaxed; SG = Pm-3m (221); crystal system = cubic; calculated density = 6.0 g/cm³; spin magnetization = 0.0 μB/f.u.
1.0
5.1781 0.0000 0.0000
0.0000 5.1781 0.0000
0.0000 0.0000 5.1781
Ba Be Sn
1 1 3
Direct
0.0000 0.0000 0.0000
0.5000 0.5000 0.5000
0.0000 0.5000 0.5000
0.5000 0.0000 0.5000
0.5000 0.5000 0.0000

---

(2)
BaBeSn3 | Alexandria via LeMat-Bulk | PBE | relaxed; SG = Pm-3m (221); crystal system = cubic; calculated density = 3.3 g/cm³; spin magnetization = 0.0 μB/f.u.
1.0
6.3056 0.0000 0.0000
0.0000 6.3056 0.0000
0.0000 0.0000 6.3056
Ba Be Sn
1 1 3
Direct
0.0000 0.0000 0.0000
0.5000 0.5000 0.5000
0.0000 0.0000 0.5000
0.0000 0.5000 0.0000
0.5000 0.0000 0.0000

---

Most stable of them? (1).

---

(1)
BaSrBe | Alexandria via LeMat-Bulk | PBE | relaxed; SG = P3m1 (156); crystal system = trigonal; calculated density = 2.8 g/cm³; spin magnetization = 0.0 μB/f.u.
1.0
4.5854 0.0000 0.0000
-2.2927 3.9711 0.0000
0.0000 0.0000 7.5019
Ba Sr Be
1 1 1
Direct
0.0000 0.0000 0.0000
0.3333 0.6667 0.4795
0.6667 0.3333 0.2566

---

(2)
BaSrBe | Alexandria via LeMat-Bulk | PBE | relaxed; SG = I4mm (107); crystal system = tetragonal; calculated density = 3.4 g/cm³; spin magnetization = 0.0 μB/f.u.
1.0
-1.9704 1.9704 7.2727
1.9704 -1.9704 7.2727
1.9704 1.9704 -7.2727
Ba Sr Be
1 1 1
Direct
0.0000 0.0000 0.0000
0.7488 0.7488 0.0000
0.3658 0.3658 0.0000

---

(3)
BaSrBe | Alexandria via LeMat-Bulk | PBE | relaxed; SG = F-43m (216); crystal system = cubic; calculated density = 3.4 g/cm³; spin magnetization = 0.0 μB/f.u.
1.0
0.0000 3.8629 3.8629
3.8629 0.0000 3.8629
3.8629 3.8629 0.0000
Ba Sr Be
1 1 1
Direct
0.0000 0.0000 0.0000
0.7500 0.7500 0.7500
0.2500 0.2500 0.2500

---

Most stable of them? (2).

---

(1)
Ba3SrBe | Alexandria via LeMat-Bulk | PBE | relaxed; SG = Pm-3m (221); crystal system = cubic; calculated density = 3.1 g/cm³; spin magnetization = 0.0 μB/f.u.
1.0
6.4744 0.0000 0.0000
0.0000 6.4744 0.0000
0.0000 0.0000 6.4744
Ba Sr Be
3 1 1
Direct
0.0000 0.0000 0.5000
0.0000 0.5000 0.0000
0.5000 0.0000 0.0000
0.5000 0.5000 0.5000
0.0000 0.0000 0.0000

---

(2)
Ba3SrBe | Alexandria via LeMat-Bulk | PBE | relaxed; SG = Pm-3m (221); crystal system = cubic; calculated density = 2.7 g/cm³; spin magnetization = 0.0 μB/f.u.
1.0
6.8006 0.0000 0.0000
0.0000 6.8006 0.0000
0.0000 0.0000 6.8006
Ba Sr Be
3 1 1
Direct
0.0000 0.0000 0.5000
0.0000 0.5000 0.0000
0.5000 0.0000 0.0000
0.0000 0.0000 0.0000
0.5000 0.5000 0.5000

---

Most stable of them? (1).

---

(1)
BaSrBe3 | Alexandria via LeMat-Bulk | PBE | relaxed; SG = Pm-3m (221); crystal system = cubic; calculated density = 2.5 g/cm³; spin magnetization = 0.0 μB/f.u.
1.0
5.5001 0.0000 0.0000
0.0000 5.5001 0.0000
0.0000 0.0000 5.5001
Ba Sr Be
1 1 3
Direct
0.0000 0.0000 0.0000
0.5000 0.5000 0.5000
0.0000 0.5000 0.5000
0.5000 0.0000 0.5000
0.5000 0.5000 0.0000

---

(2)
BaSrBe3 | Alexandria via LeMat-Bulk | PBE | relaxed; SG = Pm-3m (221); crystal system = cubic; calculated density = 2.6 g/cm³; spin magnetization = 0.0 μB/f.u.
1.0
5.4209 0.0000 0.0000
0.0000 5.4209 0.0000
0.0000 0.0000 5.4209
Ba Sr Be
1 1 3
Direct
0.0000 0.0000 0.0000
0.5000 0.5000 0.5000
0.0000 0.0000 0.5000
0.0000 0.5000 0.0000
0.5000 0.0000 0.0000

---

Most stable of them? (1).

---

(1)
BaTaBe3 | Alexandria via LeMat-Bulk | PBE | relaxed; SG = Pm-3m (221); crystal system = cubic; calculated density = 5.1 g/cm³; spin magnetization = 0.0 μB/f.u.
1.0
4.8208 0.0000 0.0000
0.0000 4.8208 0.0000
0.0000 0.0000 4.8208
Ba Ta Be
1 1 3
Direct
0.0000 0.0000 0.0000
0.5000 0.5000 0.5000
0.0000 0.5000 0.5000
0.5000 0.0000 0.5000
0.5000 0.5000 0.0000

---

(2)
BaTaBe3 | Alexandria via LeMat-Bulk | PBE | relaxed; SG = Pm-3m (221); crystal system = cubic; calculated density = 5.8 g/cm³; spin magnetization = 0.0 μB/f.u.
1.0
4.6113 0.0000 0.0000
0.0000 4.6113 0.0000
0.0000 0.0000 4.6113
Ba Ta Be
1 1 3
Direct
0.0000 0.0000 0.0000
0.5000 0.5000 0.5000
0.0000 0.0000 0.5000
0.0000 0.5000 0.0000
0.5000 0.0000 0.0000

---

Most stable of them? (1).

---

(1)
Ba2TaBe2 | Alexandria via LeMat-Bulk | PBE | relaxed; SG = I4/mmm (139); crystal system = tetragonal; calculated density = 6.7 g/cm³; spin magnetization = 0.0 μB/f.u.
1.0
-1.5867 1.5867 11.7399
1.5867 -1.5867 11.7399
1.5867 1.5867 -11.7399
Ba Ta Be
2 1 2
Direct
0.1182 0.1182 0.0000
0.8818 0.8818 0.0000
0.5000 0.5000 0.0000
0.2500 0.7500 0.5000
0.7500 0.2500 0.5000

---

(2)
Ba2TaBe2 | Alexandria via LeMat-Bulk | PBE | relaxed; SG = P4/mbm (127); crystal system = tetragonal; calculated density = 6.0 g/cm³; spin magnetization = 1.7 μB/f.u.
1.0
9.1295 0.0000 0.0000
0.0000 9.1295 0.0000
0.0000 0.0000 3.1648
Ba Ta Be
4 2 4
Direct
0.1963 0.3037 0.0000
0.3037 0.8037 0.0000
0.6963 0.1963 0.0000
0.8037 0.6963 0.0000
0.0000 0.0000 0.0000
0.5000 0.5000 0.0000
0.0855 0.5855 0.5000
0.4145 0.0855 0.5000
0.5855 0.9145 0.5000
0.9145 0.4145 0.5000

---

Most stable of them? (1).

---

(1)
BaBe2Tc | Alexandria via LeMat-Bulk | PBE | relaxed; SG = F-43m (216); crystal system = cubic; calculated density = 5.9 g/cm³; spin magnetization = 0.0 μB/f.u.
1.0
0.0000 3.2855 3.2855
3.2855 0.0000 3.2855
3.2855 3.2855 0.0000
Ba Be Tc
1 2 1
Direct
0.0000 0.0000 0.0000
0.2500 0.2500 0.2500
0.5000 0.5000 0.5000
0.7500 0.7500 0.7500

---

(2)
BaBe2Tc | Alexandria via LeMat-Bulk | PBE | relaxed; SG = Cm (8); crystal system = monoclinic; calculated density = 5.3 g/cm³; spin magnetization = 0.0 μB/f.u.
1.0
3.4469 -1.9882 0.0000
3.4469 1.9882 0.0000
-2.2947 0.0000 5.7537
Ba Be Tc
1 2 1
Direct
0.0000 0.0000 0.0000
0.4913 0.4913 0.4781
0.8174 0.8174 0.4562
0.1862 0.1862 0.5623

---

(3)
BaBe2Tc | Alexandria via LeMat-Bulk | PBE | relaxed; SG = Fm-3m (225); crystal system = cubic; calculated density = 5.8 g/cm³; spin magnetization = 0.9 μB/f.u.
1.0
0.0000 3.3176 3.3176
3.3176 0.0000 3.3176
3.3176 3.3176 0.0000
Ba Be Tc
1 2 1
Direct
0.0000 0.0000 0.0000
0.2500 0.2500 0.2500
0.7500 0.7500 0.7500
0.5000 0.5000 0.5000

---

(4)
BaBe2Tc | Alexandria via LeMat-Bulk | PBE | relaxed; SG = Immm (71); crystal system = orthorhombic; calculated density = 5.0 g/cm³; spin magnetization = 0.7 μB/f.u.
1.0
-1.6946 2.8650 4.3532
1.6946 -2.8650 4.3532
1.6946 2.8650 -4.3532
Ba Be Tc
1 2 1
Direct
0.0000 0.0000 0.0000
0.3279 0.8279 0.5000
0.6721 0.1721 0.5000
0.5000 0.5000 0.0000

---

Most stable of them? (2).